No. 1
Nd2ErSc2 | GGA-PBE | optimized geometry

Unit cell a=9.234 b=9.234 c=9.234 alpha=145.34 beta=136.76 gamma=56.56
Fractional coordinates of all 10 atoms:
Nd 0.252 0.002 0.250
Nd 0.377 0.627 0.750
Nd 0.623 0.373 0.250
Nd 0.748 0.998 0.750
Er 0.124 0.374 0.750
Er 0.876 0.626 0.250
Sc 0.188 0.193 0.994
Sc 0.301 0.807 0.494
Sc 0.699 0.193 0.506
Sc 0.812 0.807 0.006

Output
density	5.95	Mg/m³
total DFT energy (no corrections)	-26.11	eV per formula unit

***

No. 2
PrHoTmSc | GGA-PBE | optimized geometry

Unit cell a=11.481 b=11.481 c=11.481 alpha=17.64 beta=17.64 gamma=17.64
Fractional coordinates of all 4 atoms:
Pr 0.000 0.000 0.000
Ho 0.171 0.171 0.171
Tm 0.754 0.754 0.754
Sc 0.583 0.583 0.583

Output
density	7.11	Mg/m³
total DFT energy (no corrections)	-19.92	eV per formula unit

***

No. 3
PmThZnGe | GGA-PBE | optimized geometry

Unit cell a=5.184 b=5.184 c=5.184 alpha=60.00 beta=60.00 gamma=60.00
Fractional coordinates of all 4 atoms:
Pm 0.000 0.000 0.000
Th 0.500 0.500 0.500
Zn 0.250 0.250 0.250
Ge 0.750 0.750 0.750

Output
density	8.68	Mg/m³
total DFT energy (no corrections)	-19.71	eV per formula unit

***

No. 4
Cd2SiOs | GGA-PBE | optimized geometry

Unit cell a=4.592 b=4.592 c=4.592 alpha=60.00 beta=60.00 gamma=60.00
Fractional coordinates of all 4 atoms:
Cd 0.000 0.000 0.000
Cd 0.250 0.250 0.250
Si 0.750 0.750 0.750
Os 0.500 0.500 0.500

Output
energy relative to the elements, uncorrected	617.4	meV/atom
density	10.75	Mg/m³

***

No. 5
SbCCl3 | GGA-PBE | optimized geometry

Unit cell a=4.560 b=4.560 c=4.560 alpha=90.00 beta=90.00 gamma=90.00
Fractional coordinates of all 5 atoms:
Sb 0.000 0.000 0.000
C 0.500 0.500 0.500
Cl 0.000 0.500 0.500
Cl 0.500 0.000 0.500
Cl 0.500 0.500 0.000

Output
energy relative to the elements, uncorrected	970.4	meV/atom
density	4.21	Mg/m³

***

No. 6
Pm2HoI8 | GGA-PBE | optimized geometry

Unit cell a=10.884 b=10.884 c=7.256 alpha=97.01 beta=97.01 gamma=47.04
Fractional coordinates of all 11 atoms:
Pm 0.145 0.145 0.423
Pm 0.855 0.855 0.577
Ho 0.000 0.000 0.000
I 0.137 0.137 0.841
I 0.203 0.685 0.740
I 0.287 0.287 0.363
I 0.315 0.797 0.260
I 0.685 0.203 0.740
I 0.713 0.713 0.637
I 0.797 0.315 0.260
I 0.863 0.863 0.159

Output
energy relative to the elements, uncorrected	-1226.0	meV/atom
density	3.92	Mg/m³

***

No. 7
PmNd2Hg2 | GGA-PBE | optimized geometry

Unit cell a=3.845 b=5.469 c=14.168 alpha=90.00 beta=97.83 gamma=90.00
Fractional coordinates of all 10 atoms:
Pm 0.146 0.250 0.290
Pm 0.854 0.750 0.710
Nd 0.047 0.750 0.093
Nd 0.234 0.750 0.470
Nd 0.766 0.250 0.530
Nd 0.953 0.250 0.907
Hg 0.358 0.250 0.715
Hg 0.449 0.750 0.900
Hg 0.551 0.250 0.100
Hg 0.642 0.750 0.285

Output
density	9.39	Mg/m³
total DFT energy (no corrections)	-16.76	eV per formula unit

***

No. 8
Tb2Pm6Nd3Tl | GGA-PBE | optimized geometry

Unit cell a=6.270 b=6.270 c=11.898 alpha=95.14 beta=95.14 gamma=120.20
Fractional coordinates of all 12 atoms:
Tb 0.166 0.834 0.000
Tb 0.834 0.166 0.000
Pm 0.093 0.420 0.756
Pm 0.254 0.254 0.246
Pm 0.420 0.093 0.756
Pm 0.580 0.907 0.244
Pm 0.746 0.746 0.754
Pm 0.907 0.580 0.244
Nd 0.000 0.000 0.500
Nd 0.331 0.669 0.500
Nd 0.669 0.331 0.500
Tl 0.500 0.500 0.000

Output
density	7.62	Mg/m³
total DFT energy (no corrections)	-54.59	eV per formula unit

***

No. 9
PmPrSbS | GGA-PBE | optimized geometry

Unit cell a=11.494 b=11.494 c=11.494 alpha=25.51 beta=25.51 gamma=25.51
Fractional coordinates of all 8 atoms:
Pm 0.122 0.122 0.122
Pm 0.878 0.878 0.878
Pr 0.295 0.295 0.295
Pr 0.705 0.705 0.705
Sb 0.397 0.397 0.397
Sb 0.603 0.603 0.603
S 0.204 0.204 0.204
S 0.796 0.796 0.796

Output
energy relative to the elements, uncorrected	-1301.0	meV/atom
density	5.89	Mg/m³

***

No. 10
TeAs | GGA-PBE | optimized geometry

Unit cell a=8.821 b=8.821 c=4.044 alpha=97.37 beta=97.37 gamma=24.07
Fractional coordinates of all 4 atoms:
Te 0.116 0.116 0.338
Te 0.884 0.884 0.662
As 0.323 0.323 0.030
As 0.677 0.677 0.970

Output
energy relative to the elements, uncorrected	172.6	meV/atom
density	5.29	Mg/m³

***

No. 11
SbPb2Cl2 | GGA-PBE | optimized geometry

Unit cell a=4.542 b=4.542 c=11.487 alpha=98.45 beta=98.45 gamma=50.63
Fractional coordinates of all 5 atoms:
Sb 0.000 0.000 0.000
Pb 0.239 0.239 0.812
Pb 0.761 0.761 0.188
Cl 0.452 0.452 0.328
Cl 0.548 0.548 0.672

Output
energy relative to the elements, uncorrected	-519.6	meV/atom
density	5.58	Mg/m³